Entry 1:
ScAlAu2: optimized geometry, PBEsol.

POSCAR file:
```
ScAlAu2
1.0
3.5455 0.0000 0.0000
0.0000 4.5733 -0.0549
-1.7728 -1.1808 4.3840
Al Au Sc
1 2 1
Cartesian
1.7728 0.2852 2.0932
0.0000 2.7564 2.1333
0.0000 0.2132 0.0701
1.7728 2.4244 0.0051
```

Results
**Energy of formation from the pure elements**: -587.0 meV/atom
**Calculated density**: 10.9 g/cm³
**DOS at the Fermi energy**: 1.698 states/eV/f.u.
**Spin magnetization**: 0.00 Bohr magnetons per cell

***

Entry 2:
ScAl3Au: optimized geometry, PBEsol.

POSCAR file:
```
ScAl3Au
1.0
5.0597 0.0000 0.0000
0.0000 5.0597 0.0000
0.0000 0.0000 5.0597
Sc Al Au
1 3 1
Cartesian
0.0000 0.0000 0.0000
0.0000 2.5298 0.0000
2.5298 0.0000 0.0000
0.0000 0.0000 2.5298
2.5298 2.5298 2.5298
```

Results
**Energy of formation from the pure elements**: 1198.4 meV/atom
**Calculated density**: 4.1 g/cm³
**DOS at the Fermi energy**: 4.358 states/eV/f.u.
**Spin magnetization**: 0.00 Bohr magnetons per cell

***

Entry 3:
Al2AuSe: optimized geometry, PBEsol.

POSCAR file:
```
Al2AuSe
1.0
-3.1148 -3.5083 3.8775
6.3042 1.2975 1.4612
1.0815 3.9835 4.4729
Au Al Se
2 4 2
Cartesian
1.6272 1.0051 6.9934
0.0000 0.0000 0.0000
-0.4625 -0.2154 6.5989
5.3166 4.0556 5.4552
3.1555 0.2388 5.2358
0.5323 -0.5335 2.3333
2.6438 0.7675 2.8182
-1.0166 0.2376 4.1752
```

Results
**Calculated density**: 5.9 g/cm³
**DOS at the Fermi energy**: 1.680 states/eV/f.u.
**Energy relative to the elements, uncorrected**: -23 kJ/mol of atoms
**Spin magnetization**: 0.00 Bohr magnetons per cell

***

Entry 4:
AlAuSe2: optimized geometry, PBEsol.

POSCAR file:
```
AlAuSe2
1.0
-1.5824 2.8903 -3.2315
0.2495 -4.3667 -1.4732
-2.7976 -0.2973 3.6587
Se Au Al
2 1 1
Cartesian
-2.8270 0.1305 0.7600
-1.3035 -1.9042 -1.8060
0.0000 0.0000 0.0000
-1.2740 -2.3320 1.0928
```

Results
**Calculated density**: 8.5 g/cm³
**DOS at the Fermi energy**: 1.960 states/eV/f.u.
**Energy relative to the elements, uncorrected**: 17 kJ/mol of atoms
**Spin magnetization**: 0.00 Bohr magnetons per cell

***

Entry 5:
AlAuSe2: optimized geometry, PBEsol.

POSCAR file:
```
AlAuSe2
1.0
5.8607 0.0000 0.0000
0.0000 5.8607 0.0000
0.0000 0.0000 6.2703
Se Al Au
4 2 2
Cartesian
1.8724 4.4712 0.0000
1.3895 1.8724 3.1351
4.4712 3.9883 3.1351
3.9883 1.3895 0.0000
2.9304 2.9304 4.7027
2.9304 2.9304 1.5676
2.9304 0.0000 3.1351
0.0000 2.9304 0.0000
```

Results
**Calculated density**: 5.9 g/cm³
**DOS at the Fermi energy**: 0.000 states/eV/f.u.
**Energy relative to the elements, uncorrected**: -47 kJ/mol of atoms
**Spin magnetization**: 0.00 Bohr magnetons per cell

***

Entry 6:
Al2SiAu: optimized geometry, PBEsol.

POSCAR file:
```
Al2SiAu
1.0
2.8387 0.0000 0.0000
0.0000 4.7935 -0.0146
0.0000 -1.3698 4.5936
Au Al Si
1 2 1
Cartesian
1.4193 0.0000 0.0000
0.0000 -0.6849 2.2968
0.0000 2.3967 -0.0073
1.4193 1.7119 2.2895
```

Results
**Calculated density**: 7.4 g/cm³
**DOS at the Fermi energy**: 1.250 states/eV/f.u.
**Energy relative to the elements, uncorrected**: -5 kJ/mol of atoms
**Spin magnetization**: 0.00 Bohr magnetons per cell

***

Entry 7:
Al2SiAu: optimized geometry, PBEsol.

POSCAR file:
```
Al2SiAu
1.0
3.1439 0.0000 0.0000
-1.5720 4.0190 0.0060
0.0000 -1.2990 5.2057
Au Si Al
1 1 2
Cartesian
1.5720 0.0000 0.0000
0.0000 -0.6495 2.6029
0.0000 1.6949 1.2597
1.5720 1.0251 3.9520
```

Results
**Calculated density**: 7.0 g/cm³
**DOS at the Fermi energy**: 1.290 states/eV/f.u.
**Energy relative to the elements, uncorrected**: -4 kJ/mol of atoms
**Spin magnetization**: 0.00 Bohr magnetons per cell

***

Entry 8:
AlSiAu2: optimized geometry, PBEsol.

POSCAR file:
```
AlSiAu2
1.0
3.1474 0.0000 0.0000
-1.5737 4.0273 0.0424
0.0000 -1.2127 5.1435
Au Si Al
2 1 1
Cartesian
0.0000 1.7240 1.2980
1.5737 1.0906 3.8879
1.5737 0.0000 0.0000
0.0000 -0.6064 2.5717
```

Results
**Calculated density**: 11.4 g/cm³
**DOS at the Fermi energy**: 1.431 states/eV/f.u.
**Energy relative to the elements, uncorrected**: -13 kJ/mol of atoms
**Spin magnetization**: 0.00 Bohr magnetons per cell

***

Entry 9:
Al2SiAu2: optimized geometry, PBEsol.

POSCAR file:
```
Al2SiAu2
1.0
2.7294 0.0000 0.0000
0.0000 7.8206 0.0000
0.0000 0.0000 7.8206
Au Al Si
4 4 2
Cartesian
0.0000 1.3115 2.5988
0.0000 6.5091 5.2218
0.0000 2.5988 6.5091
0.0000 5.2218 1.3115
1.3647 1.0259 4.9362
1.3647 6.7947 2.8844
1.3647 2.8844 1.0259
1.3647 4.9362 6.7947
0.0000 0.0000 0.0000
0.0000 3.9103 3.9103
```

Results
**Calculated density**: 9.5 g/cm³
**DOS at the Fermi energy**: 1.617 states/eV/f.u.
**Energy relative to the elements, uncorrected**: -11 kJ/mol of atoms
**Spin magnetization**: 0.00 Bohr magnetons per cell

***

Entry 10:
AlSiAu2: optimized geometry, PBEsol.

POSCAR file:
```
AlSiAu2
1.0
2.7703 0.0000 0.0000
0.0000 3.5931 0.0000
0.0000 0.0000 6.5457
Si Au Al
1 2 1
Cartesian
1.3851 1.7965 0.0000
0.0000 0.0000 1.6930
0.0000 0.0000 4.8527
1.3851 1.7965 3.2728
```

Results
**Calculated density**: 11.4 g/cm³
**DOS at the Fermi energy**: 1.376 states/eV/f.u.
**Energy relative to the elements, uncorrected**: -3 kJ/mol of atoms
**Spin magnetization**: 0.00 Bohr magnetons per cell

***

Entry 11:
SmAl8SiAu4: optimized geometry, PBEsol.

POSCAR file:
```
SmAl8SiAu4
1.0
-3.9563 1.5567 -4.3530
0.5947 -5.5104 -2.5111
-9.0285 -2.8309 11.4461
Al Si Sm Au
16 2 2 8
Cartesian
-8.4343 -6.0638 7.6234
-3.9559 -0.7208 -3.0414
-6.1791 -1.7274 -1.3727
-6.5072 -2.3125 7.2056
-8.7316 -3.3088 8.8789
-3.9123 -5.2475 -0.4553
-10.7096 -2.5305 6.7025
-3.6585 -3.4758 -4.2968
-8.4779 -1.5371 5.0373
-8.1817 -4.2818 3.7865
-4.2085 -2.5028 0.7955
-1.9778 -1.4991 -0.8650
-6.2110 -5.0572 5.9548
-5.8829 -4.4721 -2.6235
-1.6805 -4.2541 -2.1205
-10.4123 -5.2855 5.4471
-6.1098 -3.9652 -0.1177
-6.2803 -2.8194 4.6997
-7.3328 -1.6255 1.8306
-5.0573 -5.1591 2.7515
-4.4330 -1.9901 3.3174
-1.9578 -3.7676 0.4320
0.0000 0.0000 0.0000
-1.6808 -1.9768 -3.4320
-7.9571 -4.7945 1.2647
-10.4323 -3.0170 4.1500
-8.1569 -6.5506 5.0709
-4.2333 -0.2340 -0.4889
```

Results
**Calculated density**: 7.5 g/cm³
**DOS at the Fermi energy**: 2.929 states/eV/f.u.
**Energy relative to the elements, uncorrected**: -53 kJ/mol of atoms
**Spin magnetization**: 0.00 Bohr magnetons per cell

***

Entry 12:
Th2Al4Si2Au3: optimized geometry, PBEsol.

POSCAR file:
```
Th2Al4Si2Au3
1.0
4.2410 0.0000 0.0000
0.0000 4.2573 0.0000
0.0000 2.1287 11.7687
Th Al Au Si
2 4 3 2
Cartesian
0.0000 2.1287 7.5799
0.0000 4.2573 4.1888
0.0000 2.1287 1.4833
2.1205 2.1287 10.2953
2.1205 4.2573 1.4734
0.0000 4.2573 10.2853
2.1205 2.1287 2.9114
2.1205 4.2573 8.8573
0.0000 0.0000 0.0000
2.1205 2.1287 5.3306
2.1205 4.2573 6.4381
```

Results
**Calculated density**: 9.5 g/cm³
**DOS at the Fermi energy**: 2.457 states/eV/f.u.
**Energy relative to the elements, uncorrected**: -69 kJ/mol of atoms
**Spin magnetization**: 0.00 Bohr magnetons per cell